Entry 1:
# Lu2CdN, optimized geometry, DFT PBE
# - E: -5.536 eV per atom
data_Lu2CdN
_chemical_formula_sum 'Lu24 Cd12 N12'
_cell_length_a 10.1733
_cell_length_b 5.8753
_cell_length_c 15.8806
_cell_angle_alpha 90.00
_cell_angle_beta 102.40
_cell_angle_gamma 90.00
_symmetry_space_group_name_H-M 'C 1 2/c 1'
_symmetry_Int_Tables_number 15
loop_
_symmetry_equiv_pos_as_xyz
'x,y,z'
'-x,-y,-z'
'-x,y,-z+1/2'
'x,-y,z+1/2'
'x+1/2,y+1/2,z'
'-x+1/2,-y+1/2,-z'
'-x+1/2,y+1/2,-z+1/2'
'x+1/2,-y+1/2,z+1/2'
loop_
_atom_site_label
_atom_site_type_symbol
_atom_site_fract_x
_atom_site_fract_y
_atom_site_fract_z
Lu1 Lu 0.0542 0.0830 0.4143
Lu2 Lu 0.1115 0.4160 0.5838
Lu3 Lu 0.2222 0.4170 0.9162
Cd1 Cd 0.0000 0.4265 0.2500
Cd2 Cd 0.1718 0.0891 0.7500
N1 N 0.0830 0.2490 0.0000
N2 N 0.2500 0.2500 0.5000

=====

Entry 2:
# Er3Zn3Ir2Pd, optimized geometry, DFT PBE
# - Energy of formation: -0.75 eV/atom
data_Er3Zn3Ir2Pd
_chemical_formula_sum 'Er3 Zn3 Ir2 Pd1'
_cell_length_a 7.1731
_cell_length_b 7.1731
_cell_length_c 3.8386
_cell_angle_alpha 90.00
_cell_angle_beta 90.00
_cell_angle_gamma 120.00
_symmetry_space_group_name_H-M 'P -6 2 m'
_symmetry_Int_Tables_number 189
_symmetry_space_group_name_Hall 'P -6 -2'
loop_
_atom_site_label
_atom_site_type_symbol
_atom_site_fract_x
_atom_site_fract_y
_atom_site_fract_z
Er1 Er 0.0000 0.5909 0.0000
Zn1 Zn 0.0000 0.2559 0.5000
Ir1 Ir 0.3333 0.6667 0.5000
Pd1 Pd 0.0000 0.0000 0.0000

=====

Entry 3:
# Al8Co, optimized geometry, DFT PBE
# - E: -3.729 eV per atom
data_Al8Co
_chemical_formula_sum 'Al8 Co1'
_cell_length_a 8.8210
_cell_length_b 8.8210
_cell_length_c 2.7464
_cell_angle_alpha 90.00
_cell_angle_beta 90.00
_cell_angle_gamma 120.00
_symmetry_space_group_name_H-M 'P 6/m m m'
_symmetry_Int_Tables_number 191
_symmetry_space_group_name_Hall '-P 6 2'
loop_
_atom_site_label
_atom_site_type_symbol
_atom_site_fract_x
_atom_site_fract_y
_atom_site_fract_z
Al1 Al 0.1632 0.3264 0.0000
Al2 Al 0.3333 0.6667 0.0000
Co1 Co 0.0000 0.0000 0.5000

=====

Entry 4:
# Nd2ErPd2PtPb3, optimized geometry, DFT PBE
# - E: -5.365 eV per atom
data_Nd2ErPd2PtPb3
_chemical_formula_sum 'Nd4 Er2 Pd4 Pt2 Pb6'
_cell_length_a 4.0454
_cell_length_b 13.5027
_cell_length_c 7.8367
_cell_angle_alpha 90.00
_cell_angle_beta 90.00
_cell_angle_gamma 90.00
_symmetry_space_group_name_H-M 'A m m 2'
_symmetry_Int_Tables_number 38
loop_
_symmetry_equiv_pos_as_xyz
'x,y,z'
'-x,-y,z'
'-x,y,z'
'x,-y,z'
'x,y+1/2,z+1/2'
'-x,-y+1/2,z+1/2'
'-x,y+1/2,z+1/2'
'x,-y+1/2,z+1/2'
loop_
_atom_site_label
_atom_site_type_symbol
_atom_site_fract_x
_atom_site_fract_y
_atom_site_fract_z
Nd1 Nd 0.0000 0.2007 0.0000
Er1 Er 0.0000 0.0000 0.4011
Pd1 Pd 0.5000 0.1616 0.3017
Pt1 Pt 0.0000 0.0000 0.7921
Pb1 Pb 0.5000 0.0000 0.0613
Pb2 Pb 0.5000 0.1313 0.6665

=====

Entry 5:
# Pr3AgO6, optimized geometry, DFT PBE
# - E: -7.214 eV per atom
data_Pr3AgO6
_chemical_formula_sum 'Pr3 Ag1 O6'
_cell_length_a 3.8310
_cell_length_b 5.7276
_cell_length_c 7.1082
_cell_angle_alpha 91.07
_cell_angle_beta 103.57
_cell_angle_gamma 91.02
_symmetry_space_group_name_H-M 'P -1'
_symmetry_Int_Tables_number 2
loop_
_symmetry_equiv_pos_as_xyz
'x,y,z'
'-x,-y,-z'
loop_
_atom_site_label
_atom_site_type_symbol
_atom_site_fract_x
_atom_site_fract_y
_atom_site_fract_z
Pr1 Pr 0.0000 0.0000 0.0000
Pr2 Pr 0.3883 0.4761 0.7308
Ag1 Ag 0.0000 0.0000 0.5000
O1 O 0.1352 0.7843 0.3026
O2 O 0.1512 0.2887 0.3716
O3 O 0.4869 0.7453 0.9856

=====

Entry 6:
# Zr4Co3, optimized geometry, DFT PBE
# - Energy of formation: 0.00 eV/atom
# - Energy above the lowest structure with this stoichiometry: 183 meV per atom
data_Zr4Co3
_chemical_formula_sum 'Zr8 Co6'
_cell_length_a 8.1559
_cell_length_b 8.1559
_cell_length_c 4.2377
_cell_angle_alpha 90.00
_cell_angle_beta 90.00
_cell_angle_gamma 120.00
_symmetry_space_group_name_H-M 'P 63/m'
_symmetry_Int_Tables_number 176
_symmetry_space_group_name_Hall '-P 6c'
loop_
_atom_site_label
_atom_site_type_symbol
_atom_site_fract_x
_atom_site_fract_y
_atom_site_fract_z
Zr1 Zr 0.0830 0.6811 0.2500
Zr2 Zr 0.3333 0.6667 0.7500
Co1 Co 0.0440 0.8497 0.7500

=====

Entry 7:
# Co2BIr, optimized geometry, DFT PBE
# - E: -7.189 eV per atom
data_Co2BIr
_chemical_formula_sum 'Co8 B4 Ir4'
_cell_length_a 5.5191
_cell_length_b 5.5191
_cell_length_c 5.5191
_cell_angle_alpha 90.00
_cell_angle_beta 90.00
_cell_angle_gamma 90.00
_symmetry_space_group_name_H-M 'F -4 3 m'
_symmetry_Int_Tables_number 216
_symmetry_space_group_name_Hall 'F -4 2 3'
loop_
_atom_site_label
_atom_site_type_symbol
_atom_site_fract_x
_atom_site_fract_y
_atom_site_fract_z
Co1 Co 0.0000 0.0000 0.0000
Co2 Co 0.2500 0.2500 0.2500
B1 B 0.0000 0.0000 0.5000
Ir1 Ir 0.2500 0.2500 0.7500

=====

Entry 8:
# Cu7Ag3, optimized geometry, DFT PBE
# - Energy of formation: 0.04 eV/atom
# - Energy above the lowest structure with this stoichiometry: 0 meV per atom
data_Cu7Ag3
_chemical_formula_sum 'Cu7 Ag3'
_cell_length_a 2.7891
_cell_length_b 2.7891
_cell_length_c 17.5239
_cell_angle_alpha 90.00
_cell_angle_beta 90.00
_cell_angle_gamma 90.00
_symmetry_space_group_name_H-M 'P 4/m m m'
_symmetry_Int_Tables_number 123
_symmetry_space_group_name_Hall '-P 4 2'
loop_
_atom_site_label
_atom_site_type_symbol
_atom_site_fract_x
_atom_site_fract_y
_atom_site_fract_z
Cu1 Cu 0.0000 0.0000 0.0000
Cu2 Cu 0.0000 0.0000 0.1781
Cu3 Cu 0.5000 0.5000 0.0892
Cu4 Cu 0.5000 0.5000 0.2667
Ag1 Ag 0.0000 0.0000 0.3748
Ag2 Ag 0.5000 0.5000 0.5000

=====

Entry 9:
# TbTlZnTe3, optimized geometry, DFT PBE
# - Energy above the lowest structure with this stoichiometry: 60 meV per atom
data_TbTlZnTe3
_chemical_formula_sum 'Tb4 Tl4 Zn4 Te12'
_cell_length_a 12.5582
_cell_length_b 4.5217
_cell_length_c 13.2444
_cell_angle_alpha 90.00
_cell_angle_beta 90.00
_cell_angle_gamma 90.00
_symmetry_space_group_name_H-M 'P n m a'
_symmetry_Int_Tables_number 62
loop_
_symmetry_equiv_pos_as_xyz
'x,y,z'
'-x,-y,-z'
'-x+1/2,-y,z+1/2'
'x+1/2,y,-z+1/2'
'x+1/2,-y+1/2,-z+1/2'
'-x+1/2,y+1/2,z+1/2'
'-x,y+1/2,-z'
'x,-y+1/2,z'
loop_
_atom_site_label
_atom_site_type_symbol
_atom_site_fract_x
_atom_site_fract_y
_atom_site_fract_z
Tb1 Tb 0.0257 0.2500 0.1818
Tl1 Tl 0.1823 0.2500 0.4929
Zn1 Zn 0.2437 0.7500 0.3002
Te1 Te 0.0376 0.7500 0.3467
Te2 Te 0.0976 0.2500 0.9368
Te3 Te 0.2220 0.7500 0.6904

=====

Entry 10:
# BaNd2P4, optimized geometry, DFT PBE
# - E: -5.254 eV per atom
data_BaNd2P4
_chemical_formula_sum 'Ba8 Nd16 P32'
_cell_length_a 5.8355
_cell_length_b 11.1849
_cell_length_c 24.0177
_cell_angle_alpha 90.00
_cell_angle_beta 90.00
_cell_angle_gamma 90.00
_symmetry_space_group_name_H-M 'F d d d'
_symmetry_Int_Tables_number 70
loop_
_symmetry_equiv_pos_as_xyz
'x,y,z'
'-x,-y,-z'
'-x+1/4,-y+1/4,z'
'x+1/4,y+1/4,-z'
'x,-y+1/4,-z+1/4'
'-x,y+1/4,z+1/4'
'-x+1/4,y,-z+1/4'
'x+1/4,-y,z+1/4'
'x,y+1/2,z+1/2'
'-x,-y+1/2,-z+1/2'
'-x+1/4,-y+3/4,z+1/2'
'x+1/4,y+3/4,-z+1/2'
'x,-y+3/4,-z+3/4'
'-x,y+3/4,z+3/4'
'-x+1/4,y+1/2,-z+3/4'
'x+1/4,-y+1/2,z+3/4'
'x+1/2,y,z+1/2'
'-x+1/2,-y,-z+1/2'
'-x+3/4,-y+1/4,z+1/2'
'x+3/4,y+1/4,-z+1/2'
'x+1/2,-y+1/4,-z+3/4'
'-x+1/2,y+1/4,z+3/4'
'-x+3/4,y,-z+3/4'
'x+3/4,-y,z+3/4'
'x+1/2,y+1/2,z'
'-x+1/2,-y+1/2,-z'
'-x+3/4,-y+3/4,z'
'x+3/4,y+3/4,-z'
'x+1/2,-y+3/4,-z+1/4'
'-x+1/2,y+3/4,z+1/4'
'-x+3/4,y+1/2,-z+1/4'
'x+3/4,-y+1/2,z+1/4'
loop_
_atom_site_label
_atom_site_type_symbol
_atom_site_fract_x
_atom_site_fract_y
_atom_site_fract_z
Ba1 Ba 0.1250 0.1250 0.1250
Nd1 Nd 0.1250 0.1250 0.5029
P1 P 0.0373 0.3181 0.5821

=====

Entry 11:
# CsSnW, optimized geometry, DFT PBE
# - Energy above the lowest structure with this stoichiometry: 0 meV per atom
data_CsSnW
_chemical_formula_sum 'Cs4 Sn4 W4'
_cell_length_a 7.0502
_cell_length_b 7.0502
_cell_length_c 7.0502
_cell_angle_alpha 90.00
_cell_angle_beta 90.00
_cell_angle_gamma 90.00
_symmetry_space_group_name_H-M 'F -4 3 m'
_symmetry_Int_Tables_number 216
_symmetry_space_group_name_Hall 'F -4 2 3'
loop_
_atom_site_label
_atom_site_type_symbol
_atom_site_fract_x
_atom_site_fract_y
_atom_site_fract_z
Cs1 Cs 0.0000 0.0000 0.0000
Sn1 Sn 0.0000 0.0000 0.5000
W1 W 0.2500 0.2500 0.2500

=====

Entry 12:
# Mg2FeN2, optimized geometry, DFT PBE
# - E: -5.715 eV per atom
data_Mg2FeN2
_chemical_formula_sum 'Mg2 Fe1 N2'
_cell_length_a 3.4329
_cell_length_b 3.4329
_cell_length_c 5.4827
_cell_angle_alpha 90.00
_cell_angle_beta 90.00
_cell_angle_gamma 120.00
_symmetry_space_group_name_H-M 'P -3 m 1'
_symmetry_Int_Tables_number 164
_symmetry_space_group_name_Hall '-P 3 2"'
loop_
_atom_site_label
_atom_site_type_symbol
_atom_site_fract_x
_atom_site_fract_y
_atom_site_fract_z
Mg1 Mg 0.3333 0.6667 0.3321
Fe1 Fe 0.0000 0.0000 0.0000
N1 N 0.3333 0.6667 0.7555

=====

Entry 13:
# PrNdPt3, optimized geometry, DFT PBE
# - Energy of formation: -0.77 eV/atom
data_PrNdPt3
_chemical_formula_sum 'Pr1 Nd1 Pt3'
_cell_length_a 4.2097
_cell_length_b 4.2097
_cell_length_c 6.8242
_cell_angle_alpha 90.00
_cell_angle_beta 90.00
_cell_angle_gamma 90.00
_symmetry_space_group_name_H-M 'P 4 m m'
_symmetry_Int_Tables_number 99
loop_
_symmetry_equiv_pos_as_xyz
'x,y,z'
'-y,x,z'
'-x,-y,z'
'y,-x,z'
'-x,y,z'
'y,x,z'
'x,-y,z'
'-y,-x,z'
loop_
_atom_site_label
_atom_site_type_symbol
_atom_site_fract_x
_atom_site_fract_y
_atom_site_fract_z
Pr1 Pr 0.0000 0.0000 0.0000
Nd1 Nd 0.5000 0.5000 0.6040
Pt1 Pt 0.0000 0.5000 0.3199
Pt2 Pt 0.5000 0.5000 0.0314

=====

Entry 14:
# PmAsN2O, optimized geometry, DFT PBE
# - E: -6.865 eV per atom
data_PmAsN2O
_chemical_formula_sum 'Pm6 As6 N12 O6'
_cell_length_a 5.4201
_cell_length_b 5.4201
_cell_length_c 13.4987
_cell_angle_alpha 90.00
_cell_angle_beta 90.00
_cell_angle_gamma 120.00
_symmetry_space_group_name_H-M 'P 63/m m c'
_symmetry_Int_Tables_number 194
_symmetry_space_group_name_Hall '-P 6c 2c'
loop_
_atom_site_label
_atom_site_type_symbol
_atom_site_fract_x
_atom_site_fract_y
_atom_site_fract_z
Pm1 Pm 0.0000 0.0000 0.2500
Pm2 Pm 0.3333 0.6667 0.0770
As1 As 0.0000 0.0000 0.0000
As2 As 0.3333 0.6667 0.6496
N1 N 0.1638 0.3275 0.5842
O1 O 0.0230 0.5115 0.7500

=====

Entry 15:
# DyTm2Lu4Te2Pd2, optimized geometry, DFT PBE
# - E: -5.244 eV per atom
data_DyTm2Lu4Te2Pd2
_chemical_formula_sum 'Dy2 Tm4 Lu8 Te4 Pd4'
_cell_length_a 3.8995
_cell_length_b 15.4449
_cell_length_c 9.5050
_cell_angle_alpha 90.00
_cell_angle_beta 90.00
_cell_angle_gamma 90.00
_symmetry_space_group_name_H-M 'I m m 2'
_symmetry_Int_Tables_number 44
loop_
_symmetry_equiv_pos_as_xyz
'x,y,z'
'-x,-y,z'
'-x,y,z'
'x,-y,z'
'x+1/2,y+1/2,z+1/2'
'-x+1/2,-y+1/2,z+1/2'
'-x+1/2,y+1/2,z+1/2'
'x+1/2,-y+1/2,z+1/2'
loop_
_atom_site_label
_atom_site_type_symbol
_atom_site_fract_x
_atom_site_fract_y
_atom_site_fract_z
Dy1 Dy 0.0000 0.0000 0.0000
Tm1 Tm 0.0000 0.1306 0.5826
Lu1 Lu 0.0000 0.3166 0.3734
Lu2 Lu 0.0000 0.3555 0.7339
Te1 Te 0.0000 0.0000 0.3379
Te2 Te 0.0000 0.5000 0.2340
Pd1 Pd 0.0000 0.2358 0.0691

=====

Entry 16:
# Er3Mg3Tl2Pt, optimized geometry, DFT PBE
# - E: -3.755 eV per atom
data_Er3Mg3Tl2Pt
_chemical_formula_sum 'Er3 Mg3 Tl2 Pt1'
_cell_length_a 7.4458
_cell_length_b 7.4458
_cell_length_c 4.4613
_cell_angle_alpha 90.00
_cell_angle_beta 90.00
_cell_angle_gamma 120.00
_symmetry_space_group_name_H-M 'P -6 2 m'
_symmetry_Int_Tables_number 189
_symmetry_space_group_name_Hall 'P -6 -2'
loop_
_atom_site_label
_atom_site_type_symbol
_atom_site_fract_x
_atom_site_fract_y
_atom_site_fract_z
Er1 Er 0.0000 0.6032 0.0000
Mg1 Mg 0.0000 0.2321 0.5000
Tl1 Tl 0.3333 0.6667 0.5000
Pt1 Pt 0.0000 0.0000 0.0000

=====

Entry 17:
# PuMo, optimized geometry, DFT PBE
# - Energy of formation: 0.47 eV/atom
# - Energy above the lowest structure with this stoichiometry: 0 meV per atom
data_PuMo
_chemical_formula_sum 'Pu1 Mo1'
_cell_length_a 2.8438
_cell_length_b 2.8438
_cell_length_c 5.4886
_cell_angle_alpha 90.00
_cell_angle_beta 90.00
_cell_angle_gamma 120.00
_symmetry_space_group_name_H-M 'P -6 m 2'
_symmetry_Int_Tables_number 187
_symmetry_space_group_name_Hall 'P -6 2'
loop_
_atom_site_label
_atom_site_type_symbol
_atom_site_fract_x
_atom_site_fract_y
_atom_site_fract_z
Pu1 Pu 0.0000 0.0000 0.0000
Mo1 Mo 0.3333 0.6667 0.5000

=====

Entry 18:
# Y2Co3W4C3, optimized geometry, DFT PBE
# - E: -9.617 eV per atom
data_Y2Co3W4C3
_chemical_formula_sum 'Y8 Co12 W16 C12'
_cell_length_a 9.3093
_cell_length_b 5.3626
_cell_length_c 13.4893
_cell_angle_alpha 90.00
_cell_angle_beta 103.81
_cell_angle_gamma 90.00
_symmetry_space_group_name_H-M 'C 1 2/c 1'
_symmetry_Int_Tables_number 15
loop_
_symmetry_equiv_pos_as_xyz
'x,y,z'
'-x,-y,-z'
'-x,y,-z+1/2'
'x,-y,z+1/2'
'x+1/2,y+1/2,z'
'-x+1/2,-y+1/2,-z'
'-x+1/2,y+1/2,-z+1/2'
'x+1/2,-y+1/2,z+1/2'
loop_
_atom_site_label
_atom_site_type_symbol
_atom_site_fract_x
_atom_site_fract_y
_atom_site_fract_z
Y1 Y 0.0380 0.0837 0.3706
Co1 Co 0.0000 0.4143 0.7500
Co2 Co 0.2491 0.1617 0.7510
W1 W 0.1119 0.4028 0.5866
W2 W 0.2276 0.4209 0.9133
C1 C 0.0857 0.2574 0.9998
C2 C 0.2500 0.2500 0.5000

=====

Entry 19:
# NdNi3, optimized geometry, DFT PBE
# - Energy of formation: -0.08 eV/atom
data_NdNi3
_chemical_formula_sum 'Nd1 Ni3'
_cell_length_a 3.9377
_cell_length_b 3.9377
_cell_length_c 3.9377
_cell_angle_alpha 90.00
_cell_angle_beta 90.00
_cell_angle_gamma 90.00
_symmetry_space_group_name_H-M 'P m -3 m'
_symmetry_Int_Tables_number 221
_symmetry_space_group_name_Hall '-P 4 2 3'
loop_
_atom_site_label
_atom_site_type_symbol
_atom_site_fract_x
_atom_site_fract_y
_atom_site_fract_z
Nd1 Nd 0.0000 0.0000 0.0000
Ni1 Ni 0.0000 0.5000 0.5000

=====

Entry 20:
# Cd2OF2, optimized geometry, DFT PBE
# - Energy above the lowest structure with this stoichiometry: 196 meV per atom
data_Cd2OF2
_chemical_formula_sum 'Cd8 O4 F8'
_cell_length_a 7.5908
_cell_length_b 7.5908
_cell_length_c 5.4064
_cell_angle_alpha 90.00
_cell_angle_beta 90.00
_cell_angle_gamma 90.00
_symmetry_space_group_name_H-M 'P 42/n m c'
_symmetry_Int_Tables_number 137
loop_
_symmetry_equiv_pos_as_xyz
'x,y,z'
'-x,-y,-z'
'-y+1/2,x,z+1/2'
'y+1/2,-x,-z+1/2'
'-x+1/2,-y+1/2,z'
'x+1/2,y+1/2,-z'
'y,-x+1/2,z+1/2'
'-y,x+1/2,-z+1/2'
'x+1/2,-y,-z'
'-x+1/2,y,z'
'-y,-x,-z+1/2'
'y,x,z+1/2'
'-x,y+1/2,-z'
'x,-y+1/2,z'
'y+1/2,x+1/2,-z+1/2'
'-y+1/2,-x+1/2,z+1/2'
loop_
_atom_site_label
_atom_site_type_symbol
_atom_site_fract_x
_atom_site_fract_y
_atom_site_fract_z
Cd1 Cd 0.0299 0.2500 0.0407
O1 O 0.2500 0.2500 0.2900
F1 F 0.0478 0.5478 0.2500